1.
Density functional theory data (PBE with a Hubbard U) for RbCoClF2 after structural relaxation.

Output
* ΔE to the lowest computed polymorph: 66 meV/atom
* uncorrected energy: -4.267 eV/atom

Lattice parameters (Å, degrees): 4.291 4.291 4.900 90.00 90.00 90.00
Each line ends with the local moment (μB).
Element x y z (fractional)
F: 0.000 0.500 0.000  0.06
Cl: 0.000 0.000 0.500  0.02
F: 0.500 0.000 0.000  0.06
Rb: 0.500 0.500 0.500  0.00
Co: 0.000 0.000 0.000  2.76

2.
Density functional theory data (PBE with a Hubbard U) for RbCoCl2F after structural relaxation.

Output
* uncorrected energy: -3.815 eV/atom

Lattice parameters (Å, degrees): 5.141 5.141 4.008 90.00 90.00 90.00
Each line ends with the local moment (μB).
Element x y z (fractional)
F: 0.000 0.000 0.500  0.12
Rb: 0.500 0.500 0.500  0.00
Co: 0.000 0.000 0.000  2.73
Cl: 0.500 0.000 0.000  0.05
Cl: 0.000 0.500 0.000  0.05